DFT (PBE-GGA) results for a relaxed structure of Na4TiTl3O8.

Geometry as POSCAR:
```
Na4TiTl3O8
1.0
6.741 0.000 0.000
0.000 6.772 0.017
-3.370 -3.367 4.769
O Ti Tl Na
8 1 3 4
Cartesian
0.000 3.374 2.065
3.370 3.272 2.311
3.370 0.031 2.721
1.461 1.939 0.019
5.280 1.939 0.019
1.909 1.467 4.767
-1.909 1.467 4.767
0.000 0.133 2.475
0.000 3.386 0.008
1.685 1.703 2.393
-1.685 1.703 2.393
3.370 3.386 0.008
0.000 0.000 0.000
3.370 0.000 0.000
-1.685 -1.683 2.385
1.685 -1.683 2.385
```

## Properties
Space-group type = R-3m, No. 166

---

DFT (PBE-GGA) results for a relaxed structure of NaTi2TlO6.

Geometry as POSCAR:
```
NaTi2TlO6
1.0
-3.343 -3.497 3.562
-5.193 2.999 0.353
3.001 -1.593 -4.955
Ti O Tl Na
2 6 1 1
Cartesian
-2.340 -2.671 0.298
-3.265 0.577 -1.306
-6.410 1.266 1.933
-3.954 -2.765 1.038
-6.580 -1.261 1.242
-2.321 -1.025 -0.737
-5.492 -1.959 3.526
-4.879 0.483 -0.566
-4.585 -0.267 2.103
-0.228 -0.013 0.105
```

## Properties
Space-group type = I4mm, No. 107

---

Formation energy from raw total energies, record by record: -137, -205 kJ/mol of atoms